Density functional theory data (PBE-GGA) for a relaxed structure of NaTlGaHg2.

Cell and atoms, written as POSCAR:
```
NaTlGaHg2
1.0
-1.124 -5.466 -1.126
3.201 -1.602 4.580
-4.617 0.265 3.320
Na Tl Hg Ga
1 1 2 1
Direct
0.000 0.500 0.000
0.000 0.000 0.000
0.000 0.000 0.500
0.500 0.000 0.000
0.500 0.500 0.500
```

Summary:
Relative energy among the computed polymorphs (eV per atom): 0.2909
Spin magnetization (μB per atom): 0.00
Raw total energy (eV/atom): -1.13
Calculated formation energy (eV/atom): 0.3379